A geometry-optimized Ho12Ga2Hg5 structure. Source: the Alexandria database, functional PBE.

## Properties
The density of states at the Fermi level is 20.68 states/eV/f.u. As for the total moment: 0.0 μB/cell. The energy of formation comes out at -0.196 eV/atom.

Structure (extended XYZ):
```
19
Lattice="7.648 0.000 0.000 -3.824 7.810 1.095 0.000 -1.549 8.926" Properties=species:S:1:pos:R:3 pbc="T T T"
Ho 3.824 6.936 2.515
Ho -2.113 3.779 8.483
Ho 2.113 3.779 8.483
Ho -1.835 4.906 4.691
Ho 1.835 4.906 4.691
Ho 0.000 6.362 7.326
Ho 3.824 -0.101 2.695
Ho 5.659 1.355 5.330
Ho 1.989 1.355 5.330
Ho 5.937 2.482 1.538
Ho 1.711 2.482 1.538
Ho 0.000 -0.675 7.506
Ga 5.177 0.000 0.000
Ga 2.471 0.000 0.000
Hg 0.000 3.232 6.457
Hg 0.000 5.113 1.969
Hg 0.000 -0.774 4.463
Hg 3.824 1.148 8.052
Hg 3.824 3.029 3.564
```